No. 1
Material: La4GaAg2Au
Method: DFT, PBE-GGA
State: relaxed

* density of states at the Fermi level: 0.96 states/eV per atom
* total DFT energy (no corrections): -106.49 eV for the cell shown
* ΔH_f (0 K): -3.78 eV/f.u.

Cell: 5.3704 5.3704 26.4010 Å, 90.00 90.00 120.00°
Space group R-3m (No. 166, hexagonal axes)
One atom of each set of equivalent atoms:
La: 0.0000 0.0000 0.1234 x6
La: 0.0000 0.0000 0.3744 x6
Ga: 0.0000 0.0000 0.5000 x3
Ag: 0.0000 0.0000 0.2457 x6
Au: 0.0000 0.0000 0.0000 x3

=====

No. 2
Material: La2Ga4Ag3Au
Method: DFT, PBE-GGA
State: relaxed

* density of states at the Fermi level: 0.62 states/eV per atom
* total DFT energy (no corrections): -38.36 eV for the cell shown
* ΔH_f (0 K): -4.57 eV/f.u.

Cell: 4.4828 4.4828 10.7076 Å, 90.00 90.00 90.00°
Space group P-4m2 (No. 115)
One atom of each set of equivalent atoms:
La: 0.0000 0.5000 0.2472 x2
Ga: 0.0000 0.0000 0.5000 x1
Ga: 0.0000 0.5000 0.8680 x2
Ga: 0.5000 0.5000 0.5000 x1
Ag: 0.0000 0.0000 0.0000 x1
Ag: 0.0000 0.5000 0.6307 x2
Au: 0.5000 0.5000 0.0000 x1

=====

No. 3
Material: La2Ga6AgAu
Method: DFT, PBE-GGA
State: relaxed

* density of states at the Fermi level: 0.35 states/eV per atom
* total DFT energy (no corrections): -224.90 eV for the cell shown
* ΔH_f (0 K): -3.34 eV/f.u.

Cell: 6.4142 6.4142 39.1571 Å, 90.00 90.00 120.00°
Space group R-3m (No. 166, hexagonal axes)
One atom of each set of equivalent atoms:
La: 0.0000 0.0000 0.1341 x6
La: 0.0000 0.0000 0.2868 x6
Ga: 0.0640 0.5320 0.7235 x18
Ga: 0.0635 0.5318 0.8753 x18
Ag: 0.0000 0.0000 0.0000 x3
Ag: 0.0000 0.0000 0.5000 x3
Au: 0.0000 0.0000 0.4211 x6